1.
DFT (PBE-GGA) results for a relaxed structure of MnSnPbBr6.

Computed properties:
Uncorrected formation energy: -0.791 eV/atom

CIF file:
```
data_MnSnPbBr6
_symmetry_space_group_name_H-M 'P -3 1 c'
_symmetry_Int_Tables_number 163
_symmetry_space_group_name_Hall '-P 3 2c'
_cell_length_a 7.3015
_cell_length_b 7.3015
_cell_length_c 12.9846
_cell_angle_alpha 90.00
_cell_angle_beta 90.00
_cell_angle_gamma 120.00
loop_
_atom_site_label
_atom_site_type_symbol
_atom_site_fract_x
_atom_site_fract_y
_atom_site_fract_z
Mn1 Mn 0.3333 0.6667 0.2500
Sn1 Sn 0.0000 0.0000 0.0000
Pb1 Pb 0.3333 0.6667 0.7500
Br1 Br 0.0366 0.3641 0.1276
```



2.
DFT (PBE-GGA) results for a relaxed structure of TaTiIr3.

Computed properties:
Polymorph energy (0 for the lowest one): 1.222 eV per atom
DFT formation energy: 1001.4 meV/atom

CIF file:
```
data_TaTiIr3
_symmetry_space_group_name_H-M 'P m -3 m'
_symmetry_Int_Tables_number 221
_symmetry_space_group_name_Hall '-P 4 2 3'
_cell_length_a 4.5189
_cell_length_b 4.5189
_cell_length_c 4.5189
_cell_angle_alpha 90.00
_cell_angle_beta 90.00
_cell_angle_gamma 90.00
loop_
_atom_site_label
_atom_site_type_symbol
_atom_site_fract_x
_atom_site_fract_y
_atom_site_fract_z
Ta1 Ta 0.0000 0.0000 0.0000
Ti1 Ti 0.5000 0.5000 0.5000
Ir1 Ir 0.0000 0.5000 0.5000
```



3.
DFT (PBE-GGA) results for a relaxed structure of Y2AsSe2.

Computed properties:
Polymorph energy (0 for the lowest one): 0.000 eV per atom
Uncorrected formation energy: -1.411 eV/atom

CIF file:
```
data_Y2AsSe2
_symmetry_space_group_name_H-M 'P 4/m b m'
_symmetry_Int_Tables_number 127
_symmetry_space_group_name_Hall '-P 4 2ab'
_cell_length_a 7.9432
_cell_length_b 7.9432
_cell_length_c 3.7677
_cell_angle_alpha 90.00
_cell_angle_beta 90.00
_cell_angle_gamma 90.00
loop_
_atom_site_label
_atom_site_type_symbol
_atom_site_fract_x
_atom_site_fract_y
_atom_site_fract_z
Y1 Y 0.1649 0.3351 0.0000
As1 As 0.0000 0.0000 0.0000
Se1 Se 0.1375 0.6375 0.5000
```



4.
DFT (PBE-GGA) results for a relaxed structure of Cd2Cu.

Computed properties:
DFT formation energy: 98.4 meV/atom

CIF file:
```
data_Cd2Cu
_symmetry_space_group_name_H-M 'F m -3 m'
_symmetry_Int_Tables_number 225
_symmetry_space_group_name_Hall '-F 4 2 3'
_cell_length_a 6.3210
_cell_length_b 6.3210
_cell_length_c 6.3210
_cell_angle_alpha 90.00
_cell_angle_beta 90.00
_cell_angle_gamma 90.00
loop_
_atom_site_label
_atom_site_type_symbol
_atom_site_fract_x
_atom_site_fract_y
_atom_site_fract_z
Cd1 Cd 0.2500 0.2500 0.2500
Cu1 Cu 0.0000 0.0000 0.0000
```